[1]
Here is a geometry-optimized Li3Mg5 structure from Alexandria via LeMat-Bulk. Energies are from PBE-GGA.

Structure (POSCAR):
```
Li3Mg5
1.0
4.8216 0.0000 0.0000
0.0000 6.0318 0.0000
0.0000 0.0000 11.4938
Li Mg
6 10
direct
0.0000 0.5000 0.5000
0.0000 0.0000 0.0000
0.5000 0.8441 0.3729
0.5000 0.1559 0.6271
0.5000 0.3441 0.1271
0.5000 0.6559 0.8729
0.0000 0.5000 0.0000
0.0000 0.0000 0.5000
0.0000 0.6319 0.2574
0.0000 0.3681 0.7426
0.0000 0.1319 0.2426
0.0000 0.8681 0.7574
0.5000 0.8404 0.1157
0.5000 0.1596 0.8843
0.5000 0.3404 0.3843
0.5000 0.6596 0.6157
```

Results
formation energy = -46.1 meV per atom
calculated total energy = -0.1294 Ry/atom
size of the total moment = 0.000 μB/cell
energy above the most stable polymorph in this dataset = 0.00 eV/f.u.

---

[2]
Here is a geometry-optimized LiMg5 structure from Alexandria via LeMat-Bulk. Energies are from PBE-GGA.

Structure (POSCAR):
```
LiMg5
1.0
-2.5481 0.8236 5.3733
-2.9152 -2.2558 4.7388
10.9820 -0.2124 -5.3229
Li Mg
1 5
direct
0.0017 0.0017 0.0026
0.1213 0.1213 0.7292
0.3361 0.3361 0.6698
0.4397 0.4397 0.3846
0.6623 0.6623 0.3278
0.7723 0.7723 0.0527
```

Results
formation energy = -29.2 meV per atom
calculated total energy = -0.1233 Ry/atom
size of the total moment = 0.000 μB/cell
energy above the most stable polymorph in this dataset = 0.00 eV/f.u.

---

[3]
Here is a geometry-optimized LiMg2 structure from Alexandria via LeMat-Bulk. Energies are from PBE-GGA.

Structure (POSCAR):
```
LiMg2
1.0
3.0961 0.0000 0.0000
0.0000 4.4913 0.0000
0.0000 0.0000 20.9997
Mg Li
8 4
direct
0.0000 0.2500 0.0433
0.0000 0.2500 0.1866
0.0000 0.7500 0.8134
0.0000 0.7500 0.9567
0.5000 0.2500 0.3134
0.5000 0.2500 0.4567
0.5000 0.7500 0.5433
0.5000 0.7500 0.6866
0.0000 0.2500 0.6033
0.0000 0.7500 0.3967
0.5000 0.2500 0.8967
0.5000 0.7500 0.1033
```

Results
formation energy = 118.3 meV per atom
calculated total energy = -0.1163 Ry/atom
size of the total moment = 0.000 μB/cell

---

[4]
Here is a geometry-optimized Li7Mg2 structure from Alexandria via LeMat-Bulk. Energies are from PBE-GGA.

Structure (POSCAR):
```
Li7Mg2
1.0
3.0685 0.0000 0.0000
0.0000 8.3754 0.0000
0.0000 -4.1877 7.2533
Li Mg
7 2
direct
0.5000 0.6378 0.0000
0.5000 0.0000 0.6378
0.5000 0.3622 0.3622
0.0000 0.3000 0.0000
0.0000 0.0000 0.3000
0.0000 0.7000 0.7000
0.5000 0.0000 0.0000
0.0000 0.6667 0.3333
0.0000 0.3333 0.6667
```

Results
formation energy = 8.0 meV per atom
calculated total energy = -0.1349 Ry/atom
size of the total moment = 0.000 μB/cell
energy above the most stable polymorph in this dataset = 0.21 eV/f.u.

---

[5]
Here is a geometry-optimized LiMg5 structure from Alexandria via LeMat-Bulk. Energies are from PBE-GGA.

Structure (POSCAR):
```
LiMg5
1.0
-4.5151 2.3517 2.9839
-0.7703 -4.9739 -3.0802
1.2860 -2.7429 4.1076
Li Mg
1 5
direct
0.0000 0.0000 0.0000
0.0000 0.5000 0.5000
0.3333 0.6667 0.0000
0.5000 0.0000 0.5000
0.5000 0.5000 0.5000
0.6667 0.3333 0.0000
```

Results
formation energy = 128.8 meV per atom
calculated total energy = -0.1116 Ry/atom
size of the total moment = 0.000 μB/cell
energy above the most stable polymorph in this dataset = 0.95 eV/f.u.

---

[6]
Here is a geometry-optimized LiMg4 structure from Alexandria via LeMat-Bulk. Energies are from PBE-GGA.

Structure (POSCAR):
```
LiMg4
1.0
-3.8203 1.2214 -2.9041
-2.1880 -4.3129 1.0643
-2.2669 2.1043 3.8670
Mg Li
4 1
direct
0.0000 0.0000 0.0000
0.5000 0.0000 0.5000
0.0000 0.5000 0.5000
0.5000 0.5000 0.0000
0.5000 0.5000 0.5000
```

Results
formation energy = 306.3 meV per atom
calculated total energy = -0.0994 Ry/atom
size of the total moment = 0.000 μB/cell
energy above the most stable polymorph in this dataset = 1.68 eV/f.u.

---

[7]
Here is a geometry-optimized Li11Mg structure from Alexandria via LeMat-Bulk. Energies are from PBE-GGA.

Structure (POSCAR):
```
Li11Mg
1.0
-1.2477 -1.9008 -1.8569
2.6284 -7.4015 5.8104
-8.6268 4.3997 1.2931
Li Mg
11 1
direct
0.0000 0.5000 0.0000
0.0000 0.0000 0.5000
0.0000 0.5000 0.5000
0.5000 0.1697 0.3395
0.5000 0.3395 0.1697
0.5000 0.8303 0.1697
0.5000 0.1697 0.8303
0.5000 0.6605 0.8303
0.5000 0.8303 0.6605
0.0000 0.6667 0.3333
0.0000 0.3333 0.6667
0.0000 0.0000 0.0000
```

Results
formation energy = 10.2 meV per atom
calculated total energy = -0.1380 Ry/atom
size of the total moment = 0.000 μB/cell

---

[8]
Here is a geometry-optimized LiMg2 structure from Alexandria via LeMat-Bulk. Energies are from PBE-GGA.

Structure (POSCAR):
```
LiMg2
1.0
4.2365 0.1283 4.1336
-1.2311 1.9859 5.4398
-0.1944 -3.7756 4.5561
Li Mg
2 4
direct
0.7500 0.7500 0.7500
0.5000 0.5000 0.5000
0.1250 0.6250 0.1250
0.1250 0.1250 0.6250
0.6250 0.1250 0.1250
0.1250 0.1250 0.1250
```

Results
formation energy = 77.1 meV per atom
calculated total energy = -0.1194 Ry/atom
size of the total moment = 0.000 μB/cell

---

The highest calculated total energy belongs to which entry?
LiMg4